Compound: ScPaVO6
Source: the Alexandria database
Functional: PBE with a Hubbard U
Structure: optimized geometry

The structure in POSCAR format:
```
ScPaVO6
1.0
-2.368 -0.718 -4.118
4.464 0.439 -2.643
-1.564 -4.662 1.712
Pa O Sc V
1 6 1 1
direct
0.000 0.333 0.667
0.270 0.666 0.019
0.730 0.354 0.019
0.730 0.981 0.334
0.270 0.981 0.646
0.730 0.666 0.646
0.270 0.354 0.334
0.500 0.000 0.000
0.500 0.667 0.333
```

Calculated values
DFT total energy (eV/atom): -8.87
Size of the total moment (μB per formula unit): 1.0